Entry 1:
Density functional theory data (PBE) for a geometry-optimized Mg2InNi5B2 structure.

abc: 2.970 9.018 9.018
angles: 90.00 90.00 90.00
Element x y z (fractional)
In 0.000 0.500 0.500
Ni 0.500 0.569 0.735
Ni 0.500 0.000 0.500
B 0.000 0.882 0.382
B 0.000 0.118 0.618
Ni 0.500 0.931 0.235
Ni 0.500 0.765 0.931
Ni 0.500 0.500 0.000
Ni 0.500 0.735 0.431
Ni 0.500 0.265 0.569
B 0.000 0.382 0.118
Mg 0.000 0.822 0.678
Mg 0.000 0.678 0.178
Ni 0.500 0.069 0.765
B 0.000 0.618 0.882
Ni 0.500 0.431 0.265
Mg 0.000 0.178 0.322
Ni 0.500 0.235 0.069
In 0.000 0.000 0.000
Mg 0.000 0.322 0.822

Summary:
crystal system = tetragonal
energy relative to the elements = -0.30 eV per atom
volume = 241 Å³/cell

=====

Entry 2:
Density functional theory data (PBE) for a geometry-optimized Mg2InB2O6 structure.

abc: 5.151 5.151 5.997
angles: 90.00 90.00 120.00
Element x y z (fractional)
O 0.938 0.339 0.247
Mg 0.667 0.333 0.670
O 0.661 0.600 0.247
O 0.339 0.400 0.753
B 0.667 0.333 0.238
In 0.000 0.000 0.000
O 0.600 0.938 0.753
O 0.400 0.062 0.247
B 0.333 0.667 0.762
Mg 0.333 0.667 0.330
O 0.062 0.661 0.753

Summary:
crystal system = trigonal
raw formation energy = -2126.8 meV/atom
volume = 138 Å³/cell

=====

Entry 3:
Density functional theory data (PBE) for a geometry-optimized MgInBO4 structure.

abc: 5.720 5.750 5.750
angles: 60.99 60.17 60.17
Element x y z (fractional)
O 0.290 0.743 0.243
O 0.269 0.703 0.758
In 0.000 0.000 0.000
O 0.731 0.297 0.242
Mg 0.500 0.000 0.500
O 0.710 0.257 0.757
B 0.630 0.620 0.120
Mg 0.000 0.000 0.500
O 0.725 0.743 0.243
O 0.275 0.257 0.757
O 0.731 0.742 0.797
In 0.000 0.500 0.500
B 0.370 0.380 0.880
O 0.269 0.258 0.203

Summary:
crystal system = orthorhombic
raw formation energy = -1838.5 meV/atom
volume = 135 Å³/cell

=====

Entry 4:
Density functional theory data (PBE) for a geometry-optimized MgIn2BPb structure.

abc: 6.153 4.296 6.153
angles: 90.00 90.00 90.00
Element x y z (fractional)
Pb 0.000 0.000 0.000
Mg 0.500 0.500 0.500
B 0.000 0.500 0.000
In 0.500 0.000 0.000
In 0.000 0.000 0.500

Summary:
crystal system = tetragonal
energy relative to the elements = 1.08 eV per atom
volume = 163 Å³/cell

=====

Entry 5:
Density functional theory data (PBE) for a geometry-optimized RbMgIn2B structure.

abc: 4.874 6.031 4.874
angles: 90.00 90.00 90.00
Element x y z (fractional)
Rb 0.000 0.500 0.000
Mg 0.500 0.500 0.500
In 0.000 0.000 0.500
In 0.500 0.000 0.000
B 0.000 0.000 0.000

Summary:
crystal system = tetragonal
energy relative to the elements = 0.69 eV per atom
volume = 143 Å³/cell

=====

Entry 6:
Density functional theory data (PBE) for a geometry-optimized Mg3In2BRh3 structure.

abc: 3.197 7.265 7.265
angles: 120.00 90.00 90.00
Element x y z (fractional)
Mg 0.000 0.655 0.655
Rh 0.500 0.774 0.000
Mg 0.000 0.345 0.000
Mg 0.000 0.000 0.345
In 0.500 0.667 0.333
In 0.500 0.333 0.667
Rh 0.500 0.000 0.774
Rh 0.500 0.226 0.226
B 0.000 0.000 0.000

Summary:
crystal system = hexagonal
energy relative to the elements = -0.35 eV per atom
volume = 146 Å³/cell

=====

Entry 7:
Density functional theory data (PBE) for a geometry-optimized Mg2In2BRh4 structure.

abc: 5.748 5.748 5.748
angles: 95.08 117.11 117.11
Element x y z (fractional)
In 0.500 0.750 0.250
Mg 0.000 0.296 0.296
Mg 0.000 0.704 0.704
In 0.500 0.250 0.750
Rh 0.519 0.759 0.759
Rh 0.000 0.759 0.241
Rh 0.000 0.241 0.759
Rh 0.481 0.241 0.241
B 0.000 0.000 0.000

Summary:
crystal system = tetragonal
energy relative to the elements = -0.49 eV per atom
volume = 140 Å³/cell

=====

Entry 8:
Density functional theory data (PBE) for a geometry-optimized Mg2InB2Rh5 structure.

abc: 2.969 9.657 9.657
angles: 90.00 90.00 90.00
Element x y z (fractional)
Rh 0.500 0.225 0.070
Rh 0.500 0.775 0.930
Rh 0.500 0.070 0.775
B 0.000 0.624 0.876
Rh 0.500 0.725 0.430
B 0.000 0.376 0.124
B 0.000 0.124 0.624
Rh 0.500 0.930 0.225
Rh 0.500 0.500 0.000
Rh 0.500 0.570 0.725
In 0.000 0.500 0.500
Mg 0.000 0.177 0.323
Mg 0.000 0.823 0.677
Mg 0.000 0.677 0.177
Rh 0.500 0.275 0.570
Mg 0.000 0.323 0.823
B 0.000 0.876 0.376
Rh 0.500 0.000 0.500
In 0.000 0.000 0.000
Rh 0.500 0.430 0.275

Summary:
crystal system = tetragonal
energy relative to the elements = -0.57 eV per atom
volume = 277 Å³/cell

=====

Entry 9:
Density functional theory data (PBE) for a geometry-optimized MgInSn2B structure.

abc: 6.028 4.149 6.028
angles: 90.00 90.00 90.00
Element x y z (fractional)
Sn 0.000 0.000 0.500
Mg 0.500 0.500 0.500
In 0.000 0.000 0.000
Sn 0.500 0.000 0.000
B 0.000 0.500 0.000

Summary:
crystal system = tetragonal
energy relative to the elements = 0.95 eV per atom
volume = 151 Å³/cell

=====

Entry 10:
Density functional theory data (PBE) for a geometry-optimized MgZrIn2B structure.

abc: 4.720 4.672 4.720
angles: 90.00 90.00 90.00
Element x y z (fractional)
Zr 0.000 0.500 0.000
In 0.500 0.000 0.000
Mg 0.500 0.500 0.500
In 0.000 0.000 0.500
B 0.000 0.000 0.000

Summary:
crystal system = tetragonal
energy relative to the elements = 0.22 eV per atom
volume = 104 Å³/cell

=====

Entry 11:
Density functional theory data (PBE) for a geometry-optimized MnInB3 structure.

abc: 4.439 4.439 4.439
angles: 90.00 90.00 90.00
Element x y z (fractional)
B 0.000 0.500 0.000
B 0.500 0.000 0.000
Mn 0.500 0.500 0.500
B 0.000 0.000 0.500
In 0.000 0.000 0.000

Summary:
crystal system = cubic
ΔE to the lowest computed polymorph = 1.452 eV/atom
energy relative to the elements = 2.38 eV per atom
volume = 87 Å³/cell

=====

Entry 12:
Density functional theory data (PBE) for a geometry-optimized MnIn3B structure.

abc: 5.041 5.041 5.041
angles: 90.00 90.00 90.00
Element x y z (fractional)
In 0.000 0.500 0.000
In 0.500 0.000 0.000
In 0.000 0.000 0.500
Mn 0.000 0.000 0.000
B 0.500 0.500 0.500

Summary:
crystal system = cubic
ΔE to the lowest computed polymorph = 0.371 eV/atom
energy relative to the elements = 1.16 eV per atom
volume = 128 Å³/cell

=====

Entry 13:
Density functional theory data (PBE) for a geometry-optimized Mn2InB structure.

abc: 4.131 4.131 4.131
angles: 60.00 60.00 60.00
Element x y z (fractional)
In 0.500 0.500 0.500
B 0.000 0.000 0.000
Mn 0.750 0.750 0.750
Mn 0.250 0.250 0.250

Summary:
crystal system = cubic
ΔE to the lowest computed polymorph = 0.024 eV/atom
energy relative to the elements = 0.77 eV per atom
volume = 50 Å³/cell

=====

Entry 14:
Density functional theory data (PBE) for a geometry-optimized MnIn3B structure.

abc: 4.805 4.805 4.805
angles: 90.00 90.00 90.00
Element x y z (fractional)
In 0.000 0.000 0.500
B 0.000 0.000 0.000
In 0.500 0.000 0.000
In 0.000 0.500 0.000
Mn 0.500 0.500 0.500

Summary:
crystal system = cubic
ΔE to the lowest computed polymorph = 0.000 eV/atom
energy relative to the elements = 0.79 eV per atom
volume = 111 Å³/cell

=====

Entry 15:
Density functional theory data (PBE) for a geometry-optimized Mn2InB structure.

abc: 3.724 3.724 8.379
angles: 77.16 77.16 90.00
Element x y z (fractional)
In 0.000 0.000 0.000
Mn 0.504 0.125 0.250
Mn 0.375 0.496 0.750
B 0.250 0.750 0.500
Mn 0.875 0.754 0.750
B 0.500 0.500 0.000
In 0.750 0.250 0.500
Mn 0.246 0.625 0.250

Summary:
crystal system = tetragonal
ΔE to the lowest computed polymorph = 0.000 eV/atom
energy relative to the elements = 0.75 eV per atom
volume = 110 Å³/cell

=====

Entry 16:
Density functional theory data (PBE) for a geometry-optimized MnInB3 structure.

abc: 3.930 3.930 3.930
angles: 90.00 90.00 90.00
Element x y z (fractional)
B 0.500 0.000 0.000
In 0.500 0.500 0.500
Mn 0.000 0.000 0.000
B 0.000 0.500 0.000
B 0.000 0.000 0.500

Summary:
crystal system = cubic
ΔE to the lowest computed polymorph = 0.000 eV/atom
energy relative to the elements = 0.93 eV per atom
volume = 61 Å³/cell

=====

Entry 17:
Density functional theory data (PBE) for a geometry-optimized RbMnIn2B structure.

abc: 5.071 5.606 5.071
angles: 90.00 90.00 90.00
Element x y z (fractional)
B 0.500 0.500 0.500
In 0.500 0.000 0.000
Mn 0.000 0.000 0.000
In 0.000 0.000 0.500
Rb 0.000 0.500 0.000

Summary:
crystal system = tetragonal
energy relative to the elements = 1.56 eV per atom
volume = 144 Å³/cell

=====

Entry 18:
Density functional theory data (PBE) for a geometry-optimized Mn2InB2Rh5 structure.

abc: 2.969 9.556 9.556
angles: 90.00 90.00 90.00
Element x y z (fractional)
B 0.000 0.877 0.377
Rh 0.500 0.572 0.724
Rh 0.500 0.276 0.572
Mn 0.000 0.323 0.823
Rh 0.500 0.428 0.276
Mn 0.000 0.177 0.323
Rh 0.500 0.224 0.072
In 0.000 0.500 0.500
Mn 0.000 0.677 0.177
Rh 0.500 0.776 0.928
B 0.000 0.123 0.623
Rh 0.500 0.928 0.224
Rh 0.500 0.072 0.776
Mn 0.000 0.823 0.677
B 0.000 0.377 0.123
Rh 0.500 0.724 0.428
Rh 0.500 0.500 0.000
In 0.000 0.000 0.000
B 0.000 0.623 0.877
Rh 0.500 0.000 0.500

Summary:
crystal system = tetragonal
energy relative to the elements = -0.33 eV per atom
volume = 271 Å³/cell

=====

Entry 19:
Density functional theory data (PBE) for a geometry-optimized MnInBRh2 structure.

abc: 4.543 3.876 4.543
angles: 90.00 90.00 90.00
Element x y z (fractional)
B 0.000 0.500 0.000
Mn 0.000 0.000 0.000
Rh 0.500 0.000 0.000
Rh 0.000 0.000 0.500
In 0.500 0.500 0.500

Summary:
crystal system = tetragonal
ΔE to the lowest computed polymorph = 1.070 eV/atom
energy relative to the elements = 0.80 eV per atom
volume = 80 Å³/cell

=====

Entry 20:
Density functional theory data (PBE) for a geometry-optimized MnInBRh2 structure.

abc: 4.164 4.164 4.055
angles: 90.00 90.00 90.00
Element x y z (fractional)
Mn 0.000 0.000 0.500
Rh 0.500 0.000 0.000
Rh 0.000 0.500 0.000
In 0.500 0.500 0.500
B 0.000 0.000 0.000

Summary:
crystal system = tetragonal
ΔE to the lowest computed polymorph = 0.000 eV/atom
energy relative to the elements = -0.27 eV per atom
volume = 70 Å³/cell